No. 1
The following is a DFT calculation (GGA-PBEsol) of a geometry-optimized SrGeOs3 structure.

Values from the calculation:
ΔH_f (0 K) ... 1301 meV/atom
Volume ... 19.671 Å³/atom
SG ... Pm-3m, No. 221

a = 4.6160 Å, b = 4.6160 Å, c = 4.6160 Å
α = 90.00°, β = 90.00°, γ = 90.00°
Closest atoms and distances in Å follow each position.
Element x y z (fractional)
Sr  0.5000  0.5000  0.5000  12 Os 3.26
Ge  0.0000  0.0000  0.0000  6 Os 2.31
Os  0.0000  0.5000  0.0000  2 Ge 2.31
Os  0.0000  0.0000  0.5000  2 Ge 2.31
Os  0.5000  0.0000  0.0000  2 Ge 2.31

No. 2
The following is a DFT calculation (GGA-PBEsol) of a geometry-optimized Ca4PCl structure.

Values from the calculation:
Energy relative to the elements, uncorrected ... 0.075 eV per atom
Volume ... 30.860 Å³/atom
SG ... F-43m, No. 216

a = 6.3976 Å, b = 6.3976 Å, c = 6.3976 Å
α = 60.00°, β = 60.00°, γ = 60.00°
Closest atoms and distances in Å follow each position.
Element x y z (fractional)
Ca  0.3734  0.3734  0.3734  6 Ca 3.16-3.24
Ca  0.3734  0.3734  0.8796  6 Ca 3.16-3.24
Ca  0.8796  0.3734  0.3734  6 Ca 3.16-3.24
Ca  0.3734  0.8796  0.3734  6 Ca 3.16-3.24
Cl  0.7500  0.7500  0.7500  12 Ca 3.76, 4 P 3.92
P  0.0000  0.0000  0.0000  12 Ca 3.75, 4 Cl 3.92

No. 3
The following is a DFT calculation (GGA-PBEsol) of a geometry-optimized YScNO2 structure.

Values from the calculation:
Energy relative to the elements, uncorrected ... -2.129 eV per atom
Volume ... 12.719 Å³/atom
SG ... P4/mmm, No. 123

a = 3.9658 Å, b = 3.9658 Å, c = 4.0436 Å
α = 90.00°, β = 90.00°, γ = 90.00°
Closest atoms and distances in Å follow each position.
Element x y z (fractional)
Y  0.5000  0.5000  0.5000  4 N 2.80, 8 O 2.83
Sc  0.0000  0.0000  0.0000  4 O 1.98, 2 N 2.02
O  0.0000  0.5000  0.0000  2 Sc 1.98
O  0.5000  0.0000  0.0000  2 Sc 1.98
N  0.0000  0.0000  0.5000  2 Sc 2.02

No. 4
The following is a DFT calculation (GGA-PBEsol) of a geometry-optimized ZrGeOs structure.

Values from the calculation:
ΔH_f (0 K) ... -678 meV/atom
Volume ... 16.339 Å³/atom
SG ... P-62m, No. 189

a = 3.7831 Å, b = 6.6994 Å, c = 6.6994 Å
α = 120.00°, β = 90.00°, γ = 90.00°
Closest atoms and distances in Å follow each position.
Element x y z (fractional)
Zr  0.5000  0.5835  0.0000  5 Ge 2.76-2.79, 6 Os 2.95-3.08
Zr  0.5000  0.4165  0.4165  5 Ge 2.76-2.79, 6 Os 2.95-3.08
Zr  0.5000  0.0000  0.5835  5 Ge 2.76-2.79, 6 Os 2.95-3.08
Ge  0.0000  0.3333  0.6667  3 Os 2.58, 6 Zr 2.76
Ge  0.0000  0.6667  0.3333  3 Os 2.58, 6 Zr 2.76
Ge  0.5000  0.0000  0.0000  6 Os 2.50, 3 Zr 2.79
Os  0.0000  0.2449  0.0000  4 Ge 2.50-2.58
Os  0.0000  0.7551  0.7551  4 Ge 2.50-2.58
Os  0.0000  0.0000  0.2449  4 Ge 2.50-2.58

No. 5
The following is a DFT calculation (GGA-PBEsol) of a geometry-optimized BaTaIn2S structure.

Values from the calculation:
Energy relative to the elements, uncorrected ... 0.229 eV per atom
Volume ... 28.491 Å³/atom
SG ... P4/mmm, No. 123

a = 4.6048 Å, b = 5.5620 Å, c = 5.5620 Å
α = 90.00°, β = 90.00°, γ = 90.00°
Closest atoms and distances in Å follow each position.
Element x y z (fractional)
S  0.0000  0.0000  0.0000  2 Ta 2.30
In  0.0000  0.0000  0.5000  2 S 2.78
In  0.0000  0.5000  0.0000  2 S 2.78
Ba  0.5000  0.5000  0.5000  8 In 3.61, 4 Ta 3.93
Ta  0.5000  0.0000  0.0000  2 S 2.30

No. 6
The following is a DFT calculation (GGA-PBEsol) of a geometry-optimized Ti2CdCl structure.

Values from the calculation:
Energy relative to the elements, uncorrected ... 0.157 eV per atom
Volume ... 17.147 Å³/atom
SG ... Fm-3m, No. 225

a = 4.5947 Å, b = 4.5947 Å, c = 4.5947 Å
α = 60.00°, β = 60.00°, γ = 60.00°
Closest atoms and distances in Å follow each position.
Element x y z (fractional)
Cl  0.0000  0.0000  0.0000  8 Ti 2.81
Ti  0.2500  0.2500  0.2500  4 Cl 2.81, 4 Cd 2.81
Ti  0.7500  0.7500  0.7500  4 Cl 2.81, 4 Cd 2.81
Cd  0.5000  0.5000  0.5000  8 Ti 2.81

No. 7
The following is a DFT calculation (GGA-PBEsol) of a geometry-optimized TaMo structure.

Values from the calculation:
ΔH_f (0 K) ... -132 meV/atom
Volume ... 16.316 Å³/atom
SG ... P4/nmm, No. 129

a = 3.1803 Å, b = 3.1803 Å, c = 6.4527 Å
α = 90.00°, β = 90.00°, γ = 90.00°
Closest atoms and distances in Å follow each position.
Element x y z (fractional)
Mo  0.5000  0.0000  0.8815  4 Mo 2.72, 4 Ta 2.77
Mo  0.0000  0.5000  0.1185  4 Mo 2.72, 4 Ta 2.77
Ta  0.5000  0.0000  0.3680  4 Mo 2.77, 4 Ta 2.82
Ta  0.0000  0.5000  0.6320  4 Mo 2.77, 4 Ta 2.82

No. 8
The following is a DFT calculation (GGA-PBEsol) of a geometry-optimized K3Zn structure.

Values from the calculation:
ΔH_f (0 K) ... 265 meV/atom
Volume ... 50.010 Å³/atom
SG ... R-3m, No. 166

a = 4.3601 Å, b = 7.4222 Å, c = 7.4222 Å
α = 116.26°, β = 101.29°, γ = 101.29°
Closest atoms and distances in Å follow each position.
Element x y z (fractional)
K  0.5000  0.5000  0.5000  2 Zn 3.92, 6 K 3.92-4.36
K  0.0000  0.5000  0.0000  6 K 3.92-4.36, 2 Zn 3.92
K  0.0000  0.0000  0.5000  6 K 3.92-4.36, 2 Zn 3.92
Zn  0.5000  0.0000  0.0000  6 K 3.92, 2 Zn 4.36

No. 9
The following is a DFT calculation (GGA-PBEsol) of a geometry-optimized CsRbTa2Tl structure.

Values from the calculation:
ΔH_f (0 K) ... 2700 meV/atom
Volume ... 32.124 Å³/atom
SG ... P4/mmm, No. 123

a = 5.1243 Å, b = 5.1243 Å, c = 6.1168 Å
α = 90.00°, β = 90.00°, γ = 90.00°
Closest atoms and distances in Å follow each position.
Element x y z (fractional)
Cs  0.5000  0.5000  0.5000  4 Tl 3.62, 8 Ta 3.99
Tl  0.0000  0.0000  0.5000  2 Rb 3.06
Rb  0.0000  0.0000  0.0000  4 Ta 2.56
Ta  0.0000  0.5000  0.0000  2 Rb 2.56
Ta  0.5000  0.0000  0.0000  2 Rb 2.56

No. 10
The following is a DFT calculation (GGA-PBEsol) of a geometry-optimized Te3Se structure.

Values from the calculation:
Energy relative to the elements, uncorrected ... 0.152 eV per atom
Volume ... 27.181 Å³/atom
SG ... P6_3/mmc, No. 194

a = 4.2455 Å, b = 7.6904 Å, c = 7.6904 Å
α = 120.00°, β = 90.00°, γ = 90.00°
Closest atoms and distances in Å follow each position.
Element x y z (fractional)
Se  0.7500  0.6667  0.3333  6 Te 3.02
Se  0.2500  0.3333  0.6667  6 Te 3.02
Te  0.7500  0.1723  0.8277  2 Se 3.02, 4 Te 3.13
Te  0.7500  0.6555  0.8277  2 Se 3.02, 4 Te 3.13
Te  0.7500  0.1723  0.3445  2 Se 3.02, 4 Te 3.13
Te  0.2500  0.8277  0.1723  2 Se 3.02, 4 Te 3.13
Te  0.2500  0.3445  0.1723  2 Se 3.02, 4 Te 3.13
Te  0.2500  0.8277  0.6555  2 Se 3.02, 4 Te 3.13

No. 11
The following is a DFT calculation (GGA-PBEsol) of a geometry-optimized Ge2RuCl structure.

Values from the calculation:
Energy relative to the elements, uncorrected ... 0.603 eV per atom
Volume ... 16.487 Å³/atom
SG ... Fm-3m, No. 225

a = 4.5349 Å, b = 4.5349 Å, c = 4.5349 Å
α = 60.00°, β = 60.00°, γ = 60.00°
Closest atoms and distances in Å follow each position.
Element x y z (fractional)
Ru  0.5000  0.5000  0.5000  8 Ge 2.78
Ge  0.2500  0.2500  0.2500  4 Cl 2.78, 4 Ru 2.78
Ge  0.7500  0.7500  0.7500  4 Cl 2.78, 4 Ru 2.78
Cl  0.0000  0.0000  0.0000  8 Ge 2.78

No. 12
The following is a DFT calculation (GGA-PBEsol) of a geometry-optimized KMn2Ni structure.

Values from the calculation:
ΔH_f (0 K) ... 1094 meV/atom
ΔE to the lowest computed polymorph ... 0 meV/atom
Volume ... 17.574 Å³/atom
SG ... Imm2, No. 44

a = 2.8043 Å, b = 4.9869 Å, c = 5.7835 Å
α = 115.54°, β = 104.03°, γ = 90.00°
Closest atoms and distances in Å follow each position.
Element x y z (fractional)
K  0.2266  0.7266  0.4532  2 K 2.80, 4 Mn 2.91, 2 Ni 2.97
Mn  0.0264  0.0264  0.0527  4 Mn 2.80-2.91, 4 Ni 2.92
Mn  0.7804  0.2804  0.5608  2 Ni 2.34
Ni  0.4666  0.4666  0.9332  2 Mn 2.34